1.
# NbIN2O

A relaxed NbIN2O crystal (PBE, Alexandria).

Output
* magnetization: 0.8 μB per formula unit
* E: -23.7 eV per cell
* space group: P4/mmm

Cell lengths 4.065, 4.065, 4.059 Å; angles 90.00, 90.00, 90.00 degrees
Element x y z (fractional)
Nb1 0.000 0.000 0.000
I1 0.500 0.500 0.000
N1 0.000 0.500 0.500
N2 0.500 0.000 0.500
O1 0.500 0.500 0.500

2.
# NbIN2O

A relaxed NbIN2O crystal (PBE, Alexandria).

Output
* magnetization: 0.7 μB per formula unit
* E: -29.5 eV per cell
* space group: P4/mmm

Cell lengths 3.899, 3.899, 6.092 Å; angles 90.00, 90.00, 90.00 degrees
Element x y z (fractional)
Nb1 0.000 0.000 0.000
I1 0.000 0.000 0.500
N1 0.000 0.500 0.000
N2 0.500 0.000 0.000
O1 0.500 0.500 0.500